Model a:
## TbTm3Tl (PBE)

Data for a geometry-optimized TbTm3Tl structure.

a = 6.4666 Å, b = 9.7323 Å, c = 9.7323 Å
α = 84.08°, β = 79.61°, γ = 79.61°
Fractional positions:
Tm (0.0243, 0.4088, 0.7886)
Tm (0.6398, 0.6244, 0.9973)
Tm (0.6409, 0.8769, 0.7287)
Tm (0.9757, 0.5912, 0.2114)
Tm (0.8602, 0.0027, 0.3756)
Tm (0.3602, 0.3756, 0.0027)
Tm (0.1409, 0.7287, 0.8769)
Tm (0.1398, 0.9973, 0.6244)
Tm (0.4757, 0.2114, 0.5912)
Tm (0.5243, 0.7886, 0.4088)
Tm (0.8591, 0.2713, 0.1231)
Tm (0.3591, 0.1231, 0.2713)
Tb (0.0362, 0.6721, 0.5377)
Tb (0.5362, 0.5377, 0.6721)
Tb (0.4638, 0.4623, 0.3279)
Tb (0.9638, 0.3279, 0.4623)
Tl (0.2500, 0.8316, 0.1684)
Tl (0.7500, 0.1684, 0.8316)
Tl (0.2500, 0.0828, 0.9172)
Tl (0.7500, 0.9172, 0.0828)

Computed properties:
V ... 29.55 Å³/atom

---

Model b:
## TbTm3Tl (PBE)

Data for a geometry-optimized TbTm3Tl structure.

a = 4.7745 Å, b = 4.7475 Å, c = 12.8292 Å
α = 90.00°, β = 79.28°, γ = 90.00°
Fractional positions:
Tm (0.7729, 0.2500, 0.1025)
Tm (0.5751, 0.2500, 0.4981)
Tm (0.2774, 0.7500, 0.0936)
Tm (0.0732, 0.7500, 0.5019)
Tm (0.8754, 0.7500, 0.8975)
Tm (0.3710, 0.2500, 0.9064)
Tl (0.9757, 0.2500, 0.6969)
Tl (0.6726, 0.7500, 0.3031)
Tb (0.4730, 0.7500, 0.7023)
Tb (0.1753, 0.2500, 0.2977)

Computed properties:
V ... 28.57 Å³/atom

---

Most stable structure - model b; separation to the second - 73 meV/atom.

---

Model a:
## Tb3Tm2Tl (PBE)

Data for a geometry-optimized Tb3Tm2Tl structure.

a = 4.8281 Å, b = 4.8758 Å, c = 7.9039 Å
α = 107.97°, β = 90.00°, γ = 90.00°
Fractional positions:
Tm (0.0000, 0.6637, 0.3275)
Tm (0.0000, 0.3363, 0.6725)
Tb (0.5000, 0.5000, 0.0000)
Tb (0.5000, 0.1697, 0.3394)
Tb (0.5000, 0.8303, 0.6606)
Tl (0.0000, 0.0000, 0.0000)

Computed properties:
V ... 29.50 Å³/atom

---

Model b:
## Tb3Tm2Tl (PBE)

Data for a geometry-optimized Tb3Tm2Tl structure.

a = 6.7353 Å, b = 6.3608 Å, c = 9.2018 Å
α = 99.23°, β = 111.47°, γ = 90.00°
Fractional positions:
Tb (0.0519, 0.0358, 0.3367)
Tb (0.7821, 0.2500, 0.0000)
Tb (0.9481, 0.9642, 0.6633)
Tb (0.7151, 0.4642, 0.6633)
Tb (0.2179, 0.7500, 0.0000)
Tb (0.2849, 0.5358, 0.3367)
Tl (0.2905, 0.2500, 0.0000)
Tl (0.7095, 0.7500, 0.0000)
Tm (0.7716, 0.5706, 0.3268)
Tm (0.5552, 0.0706, 0.3268)
Tm (0.2284, 0.4294, 0.6732)
Tm (0.4448, 0.9294, 0.6732)

Computed properties:
V ... 30.11 Å³/atom

---

Most stable structure - model a; separation to the second - 49 meV/atom.

---

Model a:
## Tb2TmTl2 (PBE)

Data for a geometry-optimized Tb2TmTl2 structure.

a = 5.4442 Å, b = 6.4830 Å, c = 8.5090 Å
α = 90.00°, β = 108.66°, γ = 90.00°
Fractional positions:
Tb (0.9703, 0.7938, 0.9406)
Tb (0.8040, 0.3375, 0.6079)
Tb (0.0297, 0.2938, 0.0594)
Tb (0.1960, 0.8375, 0.3921)
Tl (0.7818, 0.8512, 0.5635)
Tl (0.5945, 0.0673, 0.1889)
Tl (0.2182, 0.3512, 0.4365)
Tl (0.4055, 0.5673, 0.8111)
Tm (0.4012, 0.0846, 0.8024)
Tm (0.5988, 0.5846, 0.1976)

Computed properties:
V ... 28.45 Å³/atom

---

Model b:
## Tb2TmTl2 (PBE)

Data for a geometry-optimized Tb2TmTl2 structure.

a = 3.7512 Å, b = 5.3622 Å, c = 14.1396 Å
α = 90.00°, β = 97.65°, γ = 90.00°
Fractional positions:
Tl (0.4487, 0.7500, 0.8983)
Tl (0.3564, 0.2500, 0.7110)
Tl (0.6436, 0.7500, 0.2890)
Tl (0.5513, 0.2500, 0.1017)
Tb (0.7616, 0.2500, 0.5240)
Tb (0.2384, 0.7500, 0.4760)
Tb (0.0487, 0.7500, 0.0971)
Tb (0.9513, 0.2500, 0.9029)
Tm (0.1498, 0.2500, 0.3010)
Tm (0.8502, 0.7500, 0.6990)

Computed properties:
V ... 28.19 Å³/atom

---

Most stable structure - model b; separation to the second - 42 meV/atom.

---

Model a:
## TbTm2Tl (PBE)

Data for a geometry-optimized TbTm2Tl structure.

a = 3.5260 Å, b = 3.5260 Å, c = 11.1318 Å
α = 80.89°, β = 80.89°, γ = 60.00°
Fractional positions:
Tb (0.5000, 0.5000, 0.5000)
Tl (0.0000, 0.0000, 0.0000)
Tm (0.7464, 0.7464, 0.7608)
Tm (0.2536, 0.2536, 0.2392)

Computed properties:
V ... 29.46 Å³/atom

---

Model b:
## TbTm2Tl (PBE)

Data for a geometry-optimized TbTm2Tl structure.

a = 4.7481 Å, b = 4.6099 Å, c = 11.0714 Å
α = 102.03°, β = 90.00°, γ = 90.00°
Fractional positions:
Tm (0.7500, 0.0651, 0.1307)
Tm (0.2500, 0.5566, 0.1138)
Tm (0.7500, 0.4434, 0.8862)
Tm (0.2500, 0.9349, 0.8693)
Tb (0.7500, 0.6927, 0.3853)
Tb (0.2500, 0.3073, 0.6147)
Tl (0.7500, 0.8361, 0.6723)
Tl (0.2500, 0.1639, 0.3277)

Computed properties:
V ... 29.63 Å³/atom

---

Model c:
## TbTm2Tl (PBE)

Data for a geometry-optimized TbTm2Tl structure.

a = 3.6245 Å, b = 6.6381 Å, c = 10.0852 Å
α = 90.00°, β = 90.00°, γ = 105.86°
Fractional positions:
Tb (0.0386, 0.0775, 0.7500)
Tb (0.9614, 0.9225, 0.2500)
Tm (0.6306, 0.2611, 0.4707)
Tm (0.3694, 0.7389, 0.5293)
Tm (0.3694, 0.7389, 0.9707)
Tm (0.6306, 0.2611, 0.0293)
Tl (0.7577, 0.5153, 0.7500)
Tl (0.2423, 0.4847, 0.2500)

Computed properties:
V ... 29.18 Å³/atom

---

Most stable structure - model c; separation to the second - 20 meV/atom.